The following is a PBE calculation of crystalline Ac2Mg9Zn6 at its relaxed geometry, from Alexandria via LeMat-Bulk.

## Properties
crystal system = hexagonal
size of the total moment = 0.0 μB per cell
calculated total energy = -1.7996 eV/atom

Cell lengths 6.1176, 6.1176, 13.2296 Å; angles 90.00, 90.00, 120.00 degrees
Space group P6/mmm (No. 191)
Symmetry-distinct sites (fractional):
Ac 0.0000 0.0000 0.1625 [2 per cell]
Mg 0.0000 0.5000 0.0000 [3 per cell]
Mg 0.0000 0.5000 0.3373 [6 per cell]
Zn 0.3333 0.6667 0.1704 [4 per cell]
Zn 0.3333 0.6667 0.5000 [2 per cell]